No. 1
DFT (PBE-GGA) results for an optimized crystal structure of CdOsC2.

Lattice parameters (Å, degrees): 5.034 5.034 9.400 90.00 90.00 90.00
Space group I-42d (No. 122)
One atom of each set of equivalent atoms:
Cd 0.000 0.000 0.000
Os 0.000 0.000 0.500
C 0.174 0.250 0.625

Summary:
**DFT total energy**: -0.245 hartree per atom
**Calculated formation energy**: 968 meV/atom
**Calculated volume**: 14.89 Å³/atom



No. 2
DFT (PBE-GGA) results for an optimized crystal structure of Pm2YLu.

Lattice parameters (Å, degrees): 3.596 3.596 10.064 90.00 90.00 90.00
Space group P4/mmm (No. 123)
One atom of each set of equivalent atoms:
Pm 0.000 0.000 0.246
Y 0.500 0.500 0.500
Lu 0.500 0.500 0.000

Summary:
**DFT total energy**: -0.187 hartree per atom
**Calculated formation energy**: 23 meV/atom
**Calculated volume**: 32.53 Å³/atom
**Excess energy over the best structure of this formula in the dataset**: 5.2 meV/atom



No. 3
DFT (PBE-GGA) results for an optimized crystal structure of P2HWS.

Lattice parameters (Å, degrees): 4.736 4.736 4.645 90.00 90.00 90.00
Space group P4/mmm (No. 123)
One atom of each set of equivalent atoms:
P 0.000 0.500 0.000
H 0.000 0.000 0.500
W 0.500 0.500 0.000
S 0.500 0.500 0.500

Summary:
**DFT total energy**: -0.200 hartree per atom
**Calculated volume**: 20.84 Å³/atom
**Excess energy over the best structure of this formula in the dataset**: 0.0 meV/atom



No. 4
DFT (PBE-GGA) results for an optimized crystal structure of YTePdS2.

Lattice parameters (Å, degrees): 4.742 4.742 5.232 90.00 90.00 90.00
Space group P4/mmm (No. 123)
One atom of each set of equivalent atoms:
Y 0.000 0.000 0.000
Te 0.500 0.500 0.000
Pd 0.500 0.500 0.500
S 0.000 0.500 0.500

Summary:
**DFT total energy**: -0.186 hartree per atom
**Raw formation energy**: -0.46 eV per atom
**Calculated volume**: 23.53 Å³/atom



No. 5
DFT (PBE-GGA) results for an optimized crystal structure of NaLiMgPt.

Lattice parameters (Å, degrees): 6.550 6.550 6.550 90.00 90.00 90.00
Space group F-43m (No. 216)
One atom of each set of equivalent atoms:
Na 0.000 0.000 0.000
Li 0.250 0.250 0.250
Mg 0.250 0.250 0.750
Pt 0.000 0.000 0.500

Summary:
**DFT total energy**: -0.113 hartree per atom
**Calculated formation energy**: -353 meV/atom
**Calculated volume**: 17.57 Å³/atom



No. 6
DFT (PBE-GGA) results for an optimized crystal structure of ScHgTe2.

Lattice parameters (Å, degrees): 3.714 3.709 8.023 90.00 90.01 90.00
Space group P2/m (No. 10)
One atom of each set of equivalent atoms:
Sc 0.000 0.000 0.000
Hg 0.000 0.000 0.500
Te 0.491 0.500 0.797

Summary:
**DFT total energy**: -0.140 hartree per atom
**Raw formation energy**: -0.58 eV per atom
**Calculated volume**: 27.63 Å³/atom



No. 7
DFT (PBE-GGA) results for an optimized crystal structure of SrNi2Sb2.

Lattice parameters (Å, degrees): 7.839 7.839 3.385 90.00 90.00 90.00
Space group P4/mbm (No. 127)
One atom of each set of equivalent atoms:
Sr 0.000 0.000 0.000
Ni 0.112 0.388 0.000
Sb 0.157 0.657 0.500

Summary:
**DFT total energy**: -0.165 hartree per atom
**Raw formation energy**: -0.19 eV per atom
**Calculated volume**: 20.80 Å³/atom



No. 8
DFT (PBE-GGA) results for an optimized crystal structure of Tm6Sb2Te.

Lattice parameters (Å, degrees): 6.442 7.985 11.761 90.00 121.16 90.00
Space group P2_1/c (No. 14)
One atom of each set of equivalent atoms:
Tm 0.068 0.203 0.443
Tm 0.303 0.655 0.444
Tm 0.367 0.033 0.220
Sb 0.158 0.122 0.737
Te 0.500 0.000 0.500

Summary:
**DFT total energy**: -0.181 hartree per atom
**Raw formation energy**: -0.69 eV per atom
**Calculated volume**: 28.76 Å³/atom



Among the records above, which one has the highest DFT total energy?
NaLiMgPt



Among the records above, which one has the lowest DFT total energy?
CdOsC2